Below is a crystal of AgH3Rh relaxed with PBEsol, with properties calculated at the SCAN level.

The structure in extended XYZ format:
```
5
Lattice="5.1374 -1.5217 0.0000 5.1374 1.5217 0.0000 -0.6843 0.0000 2.7494" Properties=species:S:1:pos:R:3 pbc="T T T"
Ag 0.0000 0.0000 0.0000
H 1.2803 0.0000 1.9481
H 3.3244 0.0000 2.4602
H 7.0616 0.0000 0.6731
Rh 2.6479 0.0000 0.8351
```

* ΔE to the lowest computed polymorph: 0 meV/atom
* size of the total moment: 0.000 μB per cell
* VASP energy: -15.083 eV per atom
* SG: No. 8

---

Below is a crystal of YAgHRh2 relaxed with PBEsol, with properties calculated at the SCAN level.

The structure in extended XYZ format:
```
5
Lattice="4.0249 0.0000 0.0000 0.0000 4.0249 0.0000 0.0000 0.0000 4.2385" Properties=species:S:1:pos:R:3 pbc="T T T"
Y 0.0000 0.0000 0.0000
Ag 2.0125 2.0125 0.0000
H 0.0000 0.0000 2.1193
Rh 0.0000 2.0125 2.1193
Rh 2.0125 0.0000 2.1193
```

* size of the total moment: 0.000 μB per cell
* VASP energy: -26.442 eV per atom
* SG: No. 123

---

Below is a crystal of AgHRu3 relaxed with PBEsol, with properties calculated at the SCAN level.

The structure in extended XYZ format:
```
5
Lattice="3.8863 0.0000 0.0000 0.0000 3.8863 0.0000 0.0000 0.0000 3.8863" Properties=species:S:1:pos:R:3 pbc="T T T"
Ag 0.0000 0.0000 0.0000
H 1.9432 1.9432 1.9432
Ru 0.0000 1.9432 1.9432
Ru 1.9432 0.0000 1.9432
Ru 1.9432 1.9432 0.0000
```

* size of the total moment: 2.976 μB per cell
* VASP energy: -27.374 eV per atom
* SG: No. 221

---

Below is a crystal of Si2AgHS relaxed with PBEsol, with properties calculated at the SCAN level.

The structure in extended XYZ format:
```
5
Lattice="4.7772 0.0000 0.0000 0.0000 4.7772 0.0000 0.0000 0.0000 3.3759" Properties=species:S:1:pos:R:3 pbc="T T T"
Si 0.0000 2.3886 0.0000
Si 2.3886 0.0000 0.0000
Ag 0.0000 0.0000 0.0000
H 0.0000 0.0000 1.6880
S 2.3886 2.3886 1.6880
```

* size of the total moment: 0.000 μB per cell
* VASP energy: -12.245 eV per atom
* SG: No. 123